w:
Density functional theory data (PBE) for an optimized crystal structure of NbGa2Cu2.

Computed properties:
N(E_F) = 0.745 states/eV per atom

Unit cell a=7.2631 b=7.2631 c=2.7749 alpha=90.00 beta=90.00 gamma=90.00
Element x y z (fractional)
Nb 0.0000 0.0000 0.0000
Nb 0.5000 0.5000 0.0000
Cu 0.1563 0.6563 0.5000
Cu 0.6563 0.8437 0.5000
Cu 0.8437 0.3437 0.5000
Cu 0.3437 0.1563 0.5000
Ga 0.3582 0.8582 0.0000
Ga 0.8582 0.6418 0.0000
Ga 0.6418 0.1418 0.0000
Ga 0.1418 0.3582 0.0000

x:
Density functional theory data (PBE) for an optimized crystal structure of NbGa2Cu2.

Computed properties:
N(E_F) = 0.442 states/eV per atom

Unit cell a=3.6917 b=3.6917 c=6.0483 alpha=72.23 beta=72.23 gamma=90.00
Element x y z (fractional)
Nb 0.0000 0.0000 0.0000
Cu 0.7500 0.2500 0.5000
Cu 0.2500 0.7500 0.5000
Ga 0.3921 0.3921 0.2158
Ga 0.6079 0.6079 0.7842

The computed energies, referenced to the most stable structure and given in kJ/mol of atoms, are w 0.8; x 0.0.